{
  "formula": "KNaCdHg2",
  "functional": "GGA-PBE",
  "state": "optimized geometry",
  "m_tot_mub_per_cell": 0.00,
  "energy_ev_per_cell": -4.90,
  "spacegroup": "I-4m2 (119)",
  "crystal_system": "tetragonal",
  "volume_a3_per_fu": 157.4,
  "lattice": [[4.723, 0.000, 0.000], [0.000, 4.723, 0.000], [-2.361, -2.361, 7.058]],
  "species": ["Hg", "Hg", "Na", "K", "Cd"],
  "fractional_positions": [[0.607, 0.607, 0.214], [0.393, 0.393, 0.786], [0.750, 0.250, 0.500], [0.000, 0.000, 0.000], [0.250, 0.750, 0.500]]
}